Compound: AcNdAu4
Source: Alexandria via LeMat-Bulk
Functional: PBE
Structure: optimized geometry

Unit cell a=3.8020 b=4.9221 c=8.1057 alpha=90.00 beta=90.00 gamma=90.01
Last column: nearest neighbours and their distance in Å.
Positions (direct):
Ac 0.9986 0.9973 0.4981  12 Au 3.30-3.42
Au 0.4986 0.4973 0.3241  3 Au 2.78-2.82
Au 0.4985 0.9973 0.1657  3 Au 2.72-2.78
Au 0.4985 0.9973 0.8305  3 Au 2.72-2.78
Au 0.4987 0.4973 0.6721  3 Au 2.78-2.82
Nd 0.9985 0.4973 0.9981  12 Au 3.25-3.39

## Properties
Uncorrected energy   -4.48 eV per atom
Total moment   0.000 μB per atom
Space group   No. 47
DOS(E_F)   3.97 states/eV/f.u.
Volume   25.28 Å³/atom

***

Compound: AcNd2Au6
Source: Alexandria via LeMat-Bulk
Functional: PBE
Structure: optimized geometry

Unit cell a=3.9580 b=8.5984 c=8.5984 alpha=53.77 beta=76.69 gamma=76.69
Last column: nearest neighbours and their distance in Å.
Positions (direct):
Au 0.8220 0.4873 0.8686  4 Au 2.82-3.05, 1 Nd 3.07
Au 0.0000 0.8191 0.1809  3 Au 2.81-2.82
Au 0.8220 0.8686 0.4873  4 Au 2.82-3.05, 1 Nd 3.07
Au 0.1780 0.5127 0.1314  4 Au 2.82-3.05, 1 Nd 3.07
Au 0.0000 0.1809 0.8191  3 Au 2.81-2.82
Au 0.1780 0.1314 0.5127  4 Au 2.82-3.05, 1 Nd 3.07
Nd 0.3590 0.1410 0.1410  10 Au 3.07-3.20
Nd 0.6410 0.8590 0.8590  10 Au 3.07-3.20
Ac 0.5000 0.5000 0.5000  4 Au 3.17

## Properties
Uncorrected energy   -4.43 eV per atom
Total moment   0.000 μB per atom
Space group   No. 71
DOS(E_F)   6.30 states/eV/f.u.
Volume   25.34 Å³/atom

***

Compound: AcNdNiAu
Source: Alexandria via LeMat-Bulk
Functional: PBE
Structure: optimized geometry

Unit cell a=5.2733 b=5.2733 c=5.2733 alpha=60.00 beta=60.00 gamma=60.00
Last column: nearest neighbours and their distance in Å.
Positions (direct):
Ni 0.5000 0.5000 0.5000  4 Ac 3.23, 4 Nd 3.23
Au 0.0000 0.0000 0.0000  4 Nd 3.23, 4 Ac 3.23
Nd 0.2500 0.2500 0.2500  4 Ni 3.23, 4 Au 3.23
Ac 0.7500 0.7500 0.7500  4 Au 3.23, 4 Ni 3.23

## Properties
Uncorrected energy   -4.89 eV per atom
Total moment   0.000 μB per atom
Space group   No. 216
DOS(E_F)   3.62 states/eV/f.u.
Volume   25.92 Å³/atom

***

> What is the total moment in the second record?

0.000 μB per atom